Run P
DFT (PBE) results for a relaxed structure of LiAlCdCo.

Cell lengths 4.313, 4.313, 4.313 Å; angles 60.00, 60.00, 60.00 degrees
Fractional coordinates of all 4 atoms:
Li  0.000  0.000  0.000
Al  0.500  0.500  0.500
Cd  0.250  0.250  0.250
Co  0.750  0.750  0.750

Summary:
The size of the total moment comes out at 0.43 μB per cell. Its symmetry is F-43m, No. 216.

Run Q
DFT (PBE) results for a relaxed structure of LiAlCdCo.

Cell lengths 4.298, 4.298, 4.298 Å; angles 60.00, 60.00, 60.00 degrees
Fractional coordinates of all 4 atoms:
Li  0.000  0.000  0.000
Al  0.250  0.250  0.250
Cd  0.750  0.750  0.750
Co  0.500  0.500  0.500

Summary:
The size of the total moment comes out at 0.10 μB per cell. Its symmetry is F-43m, No. 216.

Most stable structure: run Q